First-principles (PBE-GGA) data for OsRuN after structural relaxation, as listed in the Alexandria database.

Cell lengths 2.758, 2.749, 4.851 Å; angles 90.00, 90.00, 90.00 degrees
Atoms (fractional coordinates):
Os1 0.000 0.500 0.285
Ru1 0.500 0.000 0.909
N1 0.000 0.000 0.592

**SG**: Pmm2 (25)
**Energy relative to the lowest polymorph listed for this composition**: 0.19 eV per formula unit
**Raw total energy**: -9.195 eV per atom
**DOS(E_F)**: 0.949 states/eV per atom

***

First-principles (PBE-GGA) data for Li3Ag4Ge after structural relaxation, as listed in the Alexandria database.

Cell lengths 4.729, 3.119, 9.563 Å; angles 80.73, 104.31, 90.00 degrees
Atoms (fractional coordinates):
Li1 0.000 0.500 0.000
Li2 0.251 0.249 0.502
Li3 0.749 0.751 0.498
Ag1 0.628 0.372 0.256
Ag2 0.372 0.628 0.744
Ag3 0.870 0.130 0.741
Ag4 0.130 0.870 0.259
Ge1 0.500 0.000 0.000

**SG**: C2/m (12)
**Energy of formation from the pure elements**: -10.2 kJ/mol of atoms
**Energy relative to the lowest polymorph listed for this composition**: 0.06 eV per formula unit
**Raw total energy**: -2.826 eV per atom
**DOS(E_F)**: 0.311 states/eV per atom

***

First-principles (PBE-GGA) data for AcNi4Pd after structural relaxation, as listed in the Alexandria database.

Cell lengths 5.070, 5.070, 5.070 Å; angles 60.00, 60.00, 60.00 degrees
Atoms (fractional coordinates):
Ni1 0.626 0.626 0.122
Ni2 0.626 0.122 0.626
Ni3 0.626 0.626 0.626
Ni4 0.122 0.626 0.626
Ac1 0.250 0.250 0.250
Pd1 0.000 0.000 0.000

**SG**: F-43m (216)
**Energy of formation from the pure elements**: -13.8 kJ/mol of atoms
**Raw total energy**: -5.547 eV per atom
**DOS(E_F)**: 1.141 states/eV per atom

***

First-principles (PBE-GGA) data for BiSbPd after structural relaxation, as listed in the Alexandria database.

Cell lengths 3.347, 3.347, 6.935 Å; angles 103.96, 103.96, 90.00 degrees
Atoms (fractional coordinates):
Sb1 0.297 0.297 0.595
Bi1 0.027 0.027 0.053
Pd1 0.676 0.676 0.352

**SG**: I4mm (107)
**Energy relative to the lowest polymorph listed for this composition**: 0.23 eV per formula unit
**Raw total energy**: -4.606 eV per atom
**DOS(E_F)**: 0.460 states/eV per atom

***

First-principles (PBE-GGA) data for Lu2HgPd after structural relaxation, as listed in the Alexandria database.

Cell lengths 3.496, 3.496, 7.294 Å; angles 90.00, 90.00, 90.00 degrees
Atoms (fractional coordinates):
Lu1 0.000 0.000 0.773
Lu2 0.000 0.000 0.227
Hg1 0.500 0.500 0.500
Pd1 0.500 0.500 0.000

**SG**: P4/mmm (123)
**Energy of formation from the pure elements**: -69.4 kJ/mol of atoms
**Energy relative to the lowest polymorph listed for this composition**: 0.00 eV per formula unit
**Raw total energy**: -4.353 eV per atom
**DOS(E_F)**: 0.651 states/eV per atom

***

First-principles (PBE-GGA) data for Nd4Y5Ho4 after structural relaxation, as listed in the Alexandria database.

Cell lengths 5.074, 9.504, 9.504 Å; angles 85.91, 74.52, 74.52 degrees
Atoms (fractional coordinates):
Nd1 0.922 0.460 0.695
Nd2 0.618 0.305 0.460
Nd3 0.078 0.540 0.305
Nd4 0.382 0.695 0.540
Y1 0.690 0.849 0.770
Y2 0.310 0.151 0.230
Y3 0.000 0.000 0.000
Y4 0.539 0.770 0.151
Y5 0.461 0.230 0.849
Ho1 0.770 0.384 0.076
Ho2 0.230 0.616 0.924
Ho3 0.846 0.924 0.384
Ho4 0.154 0.076 0.616

**SG**: I4/m (87)
**Energy of formation from the pure elements**: 1.9 kJ/mol of atoms
**Raw total energy**: -5.342 eV per atom
**DOS(E_F)**: 1.470 states/eV per atom